Pr2I2BrN after structural relaxation. Source: OQMD via LeMat-Bulk, functional PBE-GGA. Values from VASP.

Properties
As for the raw total energy: -64.1 eV per cell. As for the total magnetization: 0.000 μB/atom. The value obtained for the energy above the lowest structure with this stoichiometry is 3.8 meV/atom. Its crystal system is monoclinic. The calculation puts the volume at 212 Å³/f.u.

```
&SYSTEM
  ibrav = 0, nat = 12, ntyp = 4
/
ATOMIC_SPECIES
Br 79.90 Br.upf
I 126.90 I.upf
N 14.01 N.upf
Pr 140.91 Pr.upf
ATOMIC_POSITIONS crystal
Br 0.031 0.031 0.257
Br 0.969 0.969 0.743
I 0.664 0.664 0.007
I 0.778 0.778 0.380
I 0.222 0.222 0.620
I 0.336 0.336 0.993
N 0.426 0.426 0.353
N 0.574 0.574 0.647
Pr 0.866 0.866 0.225
Pr 0.571 0.571 0.457
Pr 0.429 0.429 0.543
Pr 0.134 0.134 0.775
CELL_PARAMETERS angstrom
9.943 -2.073 0.000
9.943 2.073 0.000
-7.285 0.000 10.302
```